This record from Alexandria describes crystalline Rb3HgPt at its relaxed geometry. The functional is PBE.

The space group is Pm-3m (No. 221) and the conventional cell measures 6.4608, 6.4608 and 6.4608 Å, with angles of 90.00, 90.00 and 90.00 degrees. Symmetry generates all atoms from Rb at (0.0000, 0.0000, 0.5000), Hg at (0.5000, 0.5000, 0.5000) and Pt at (0.0000, 0.0000, 0.0000).

As for the crystal system: cubic. The calculated volume is 270 Å³ per cell. The energy above the most stable polymorph in this dataset comes out at 147 meV/atom. For the magnetic moment, the calculation gives 0.91 Bohr magnetons per cell.

---

This record from Alexandria describes crystalline Mg14CdSn at its relaxed geometry. The functional is PBE.

The space group is Amm2 (No. 38) and the conventional cell measures 10.1827, 6.5181 and 11.0064 Å, with angles of 90.00, 90.00 and 90.00 degrees. Symmetry generates all atoms from Mg at (0.0000, 0.0000, 0.0000), Mg at (0.0000, 0.0000, 0.4994), Mg at (0.0000, 0.2495, 0.2488), Mg at (0.2504, 0.0000, 0.8290), Mg at (0.2533, 0.0000, 0.3296), Mg at (0.2544, 0.2474, 0.5799), Mg at (0.5000, 0.2503, 0.2498), Cd at (0.5000, 0.0000, 0.4961) and Sn at (0.5000, 0.0000, 0.9980).

As for the crystal system: orthorhombic. The calculated volume is 731 Å³ per cell. The energy above the most stable polymorph in this dataset comes out at 9 meV/atom. For the magnetic moment, the calculation gives 0.00 Bohr magnetons per cell.

---

This record from Alexandria describes crystalline Zn3P at its relaxed geometry. The functional is PBE.

The space group is Fm-3m (No. 225) and the conventional cell measures 6.3800, 6.3800 and 6.3800 Å, with angles of 90.00, 90.00 and 90.00 degrees. Symmetry generates all atoms from Zn at (0.0000, 0.0000, 0.0000), Zn at (0.2500, 0.2500, 0.2500) and P at (0.0000, 0.0000, 0.5000).

As for the crystal system: cubic. The calculated volume is 260 Å³ per cell. The energy above the most stable polymorph in this dataset comes out at 263 meV/atom. For the magnetic moment, the calculation gives 0.00 Bohr magnetons per cell.

---

This record from Alexandria describes crystalline La5Mn at its relaxed geometry. The functional is PBE.

The space group is P6/mmm (No. 191) and the conventional cell measures 6.4546, 6.4546 and 5.9733 Å, with angles of 90.00, 90.00 and 120.00 degrees. Symmetry generates all atoms from La at (0.0000, 0.5000, 0.0000), La at (0.3333, 0.6667, 0.5000) and Mn at (0.0000, 0.0000, 0.5000).

As for the crystal system: hexagonal. The calculated volume is 216 Å³ per cell. The energy above the most stable polymorph in this dataset comes out at 473 meV/atom. For the magnetic moment, the calculation gives 3.55 Bohr magnetons per cell.

---

This record from Alexandria describes crystalline Al2AsSe at its relaxed geometry. The functional is PBE.

The space group is C2/m (No. 12) and the conventional cell measures 7.3780, 7.1670 and 3.5246 Å, with angles of 90.00, 117.72 and 90.00 degrees. Symmetry generates all atoms from Al at (0.2500, 0.2500, 0.0000), As at (0.0000, 0.0000, 0.0000) and Se at (0.0000, 0.5000, 0.0000).

As for the crystal system: monoclinic. The calculated volume is 165 Å³ per cell. The calculation puts the formation energy from raw total energies at -0.051 eV/atom. The energy above the most stable polymorph in this dataset comes out at 353 meV/atom. For the magnetic moment, the calculation gives 0.00 Bohr magnetons per cell.

---

This record from Alexandria describes crystalline Pm4PrEr2Sc at its relaxed geometry. The functional is PBE.

The space group is Pmmm (No. 47) and the conventional cell measures 5.0481, 5.0708 and 10.0729 Å, with angles of 90.00, 90.00 and 90.00 degrees. Symmetry generates all atoms from Pm at (0.0000, 0.0000, 0.2493), Pm at (0.5000, 0.5000, 0.2496), Pr at (0.0000, 0.5000, 0.0000), Er at (0.0000, 0.5000, 0.5000), Er at (0.5000, 0.0000, 0.5000) and Sc at (0.5000, 0.0000, 0.0000).

As for the crystal system: orthorhombic. The calculated volume is 258 Å³ per cell. For the magnetic moment, the calculation gives 0.00 Bohr magnetons per cell. For the calculated total energy, the calculation gives -39.02 eV/f.u.

---

This record from Alexandria describes crystalline DyTmHg at its relaxed geometry. The functional is PBE.

The space group is Pnma (No. 62) and the conventional cell measures 7.0746, 5.0458 and 9.1487 Å, with angles of 90.00, 90.00 and 90.00 degrees. Symmetry generates all atoms from Dy at (0.0163, 0.2500, 0.1930), Tm at (0.1665, 0.2500, 0.5744) and Hg at (0.2405, 0.2500, 0.8979).

As for the crystal system: orthorhombic. The calculated volume is 327 Å³ per cell. The energy above the most stable polymorph in this dataset comes out at 0 meV/atom. For the magnetic moment, the calculation gives 0.00 Bohr magnetons per cell.

---

This record from Alexandria describes crystalline Ac2CuSb4Rh3 at its relaxed geometry. The functional is PBE.

The space group is P-4m2 (No. 115) and the conventional cell measures 4.6789, 4.6789 and 10.5053 Å, with angles of 90.00, 90.00 and 90.00 degrees. Symmetry generates all atoms from Ac at (0.0000, 0.5000, 0.2428), Cu at (0.5000, 0.5000, 0.0000), Sb at (0.0000, 0.0000, 0.5000), Sb at (0.0000, 0.5000, 0.8729), Sb at (0.5000, 0.5000, 0.5000), Rh at (0.0000, 0.0000, 0.0000) and Rh at (0.0000, 0.5000, 0.6206).

As for the crystal system: tetragonal. The calculated volume is 230 Å³ per cell. The calculation puts the formation energy from raw total energies at -0.780 eV/atom. For the magnetic moment, the calculation gives 0.00 Bohr magnetons per cell.

---

Which value of calculated volume does entry 5 give? 165 Å³ per cell